(1)
The following is a PBE calculation of an optimized crystal structure of K3OsSe4, from the Open Quantum Materials Database.

Unit cell a=8.018 b=8.018 c=8.018 alpha=91.55 beta=91.55 gamma=91.55
Positions (direct):
K1 0.141 0.196 0.663
K2 0.163 0.696 0.641
K3 0.196 0.663 0.141
K4 0.641 0.163 0.696
K5 0.663 0.141 0.196
K6 0.696 0.641 0.163
Os1 0.162 0.162 0.162
Os2 0.662 0.662 0.662
Se1 0.010 0.977 0.328
Se2 0.328 0.010 0.977
Se3 0.336 0.336 0.336
Se4 0.477 0.510 0.828
Se5 0.510 0.828 0.477
Se6 0.828 0.477 0.510
Se7 0.836 0.836 0.836
Se8 0.977 0.328 0.010


(2)
The following is a PBE calculation of an optimized crystal structure of KSiOs, from the Open Quantum Materials Database.

* energy above the lowest structure with this stoichiometry: 0.0 meV per atom

Unit cell a=4.434 b=4.434 c=4.434 alpha=60.00 beta=60.00 gamma=60.00
Positions (direct):
K1 0.000 0.000 0.000
Si1 0.500 0.500 0.500
Os1 0.750 0.750 0.750


The records above yield energy values of -67.144 -13.869 eV/cell, respectively.